# 1
Density functional theory data (PBE-GGA) for an optimized crystal structure of PaTaS6.

a = 6.1586 Å, b = 6.1719 Å, c = 7.2910 Å
α = 60.26°, β = 60.11°, γ = 62.04°
Fractional positions:
S (0.6632, 0.0507, 0.8626)
S (0.0465, 0.4176, 0.7268)
S (0.3350, 0.7884, 0.7310)
S (0.9535, 0.5824, 0.2732)
S (0.6650, 0.2116, 0.2690)
S (0.3368, 0.9493, 0.1374)
Pa (0.5000, 0.5000, 0.5000)
Ta (0.0000, 0.0000, 0.0000)

Summary:
**Formation energy (no corrections)**: -0.80 eV per atom
**VASP energy**: -52.53 eV per cell
**Volume**: 199 Å³/cell

=====

# 2
Density functional theory data (PBE-GGA) for an optimized crystal structure of Ba2NbO2F4.

a = 4.5394 Å, b = 6.0041 Å, c = 6.0041 Å
α = 61.56°, β = 88.05°, γ = 88.05°
Fractional positions:
F (0.2665, 0.6525, 0.1965)
Nb (0.5000, 0.0000, 0.0000)
F (0.7335, 0.3475, 0.8035)
O (0.2762, 0.1637, 0.1637)
O (0.7238, 0.8363, 0.8363)
Ba (0.7778, 0.3270, 0.3270)
F (0.7335, 0.8035, 0.3475)
Ba (0.2222, 0.6730, 0.6730)
F (0.2665, 0.1965, 0.6525)

Summary:
**Formation energy (no corrections)**: -3.16 eV per atom
**VASP energy**: -59.72 eV per cell
**Volume**: 144 Å³/cell

=====

# 3
Density functional theory data (PBE-GGA) for an optimized crystal structure of SiIO3.

a = 4.1645 Å, b = 4.1645 Å, c = 4.1645 Å
α = 90.00°, β = 90.00°, γ = 90.00°
Fractional positions:
O (0.0000, 0.5000, 0.0000)
O (0.0000, 0.0000, 0.5000)
Si (0.5000, 0.5000, 0.5000)
O (0.5000, 0.0000, 0.0000)
I (0.0000, 0.0000, 0.0000)

Summary:
**Formation energy (no corrections)**: 0.37 eV per atom
**VASP energy**: -20.01 eV per cell
**Volume**: 72 Å³/cell

=====

# 4
Density functional theory data (PBE-GGA) for an optimized crystal structure of HfMgCd.

a = 3.1029 Å, b = 3.1029 Å, c = 7.8591 Å
α = 90.00°, β = 90.00°, γ = 120.00°
Fractional positions:
Hf (0.6667, 0.3333, 0.3319)
Cd (0.0000, 0.0000, 0.9977)
Mg (0.3333, 0.6667, 0.6704)

Summary:
**Formation energy**: 0.050 eV per atom
**VASP energy**: -12.31 eV per cell
**Volume**: 66 Å³/cell

=====

# 5
Density functional theory data (PBE-GGA) for an optimized crystal structure of AcCuGe2Pd.

a = 4.4348 Å, b = 4.4348 Å, c = 6.0295 Å
α = 111.58°, β = 111.58°, γ = 90.00°
Fractional positions:
Ac (0.0000, 0.0000, 0.0000)
Ge (0.3735, 0.3735, 0.7469)
Cu (0.2500, 0.7500, 0.5000)
Pd (0.7500, 0.2500, 0.5000)
Ge (0.6265, 0.6265, 0.2531)

Summary:
**Formation energy**: -0.658 eV per atom
**VASP energy**: -25.92 eV per cell
**Volume**: 101 Å³/cell

=====

# 6
Density functional theory data (PBE-GGA) for an optimized crystal structure of Zr4CuRh.

a = 5.4019 Å, b = 5.4019 Å, c = 5.4019 Å
α = 104.04°, β = 104.04°, γ = 120.99°
Fractional positions:
Zr (0.4106, 0.5894, 0.5000)
Zr (0.5894, 0.0894, 0.1788)
Zr (0.9106, 0.4106, 0.8212)
Cu (0.0000, 0.0000, 0.0000)
Zr (0.0894, 0.9106, 0.5000)
Rh (0.5000, 0.5000, 0.0000)

Summary:
**Formation energy**: -0.349 eV per atom
**VASP energy**: -47.74 eV per cell
**Volume**: 118 Å³/cell
**Energy above the lowest structure with this stoichiometry**: 0 meV per atom

=====

# 7
Density functional theory data (PBE-GGA) for an optimized crystal structure of BaIn2Fe.

a = 4.6988 Å, b = 4.2667 Å, c = 6.5524 Å
α = 71.58°, β = 90.00°, γ = 90.00°
Fractional positions:
In (0.0000, 0.8166, 0.0006)
Ba (0.0000, 0.5333, 0.5488)
In (0.5000, 0.2571, 0.1148)
Fe (0.5000, 0.8930, 0.8359)

Summary:
**Formation energy**: 0.219 eV per atom
**VASP energy**: -14.99 eV per cell
**Volume**: 125 Å³/cell

=====

# 8
Density functional theory data (PBE-GGA) for an optimized crystal structure of SnBF4.

a = 7.1962 Å, b = 9.3091 Å, c = 6.2296 Å
α = 90.00°, β = 90.00°, γ = 105.43°
Fractional positions:
B (0.7715, 0.1165, 0.6305)
Sn (0.7198, 0.7536, 0.3439)
F (0.2368, 0.9837, 0.1939)
Sn (0.2802, 0.2464, 0.6561)
Sn (0.2198, 0.2536, 0.1561)
F (0.3953, 0.8333, 0.3739)
F (0.2632, 0.5163, 0.6939)
B (0.2285, 0.8835, 0.3695)
F (0.9362, 0.2416, 0.6592)
Sn (0.7802, 0.7464, 0.8439)
F (0.8953, 0.3333, 0.1261)
F (0.1047, 0.6667, 0.8739)
F (0.4362, 0.7416, 0.8408)
F (0.7632, 0.0163, 0.8061)
B (0.7285, 0.3835, 0.1305)
F (0.0638, 0.7584, 0.3408)
B (0.2715, 0.6165, 0.8695)
F (0.2048, 0.9554, 0.5645)
F (0.2952, 0.5446, 0.0645)
F (0.5638, 0.2584, 0.1592)
F (0.6047, 0.1667, 0.6261)
F (0.7952, 0.0446, 0.4355)
F (0.7048, 0.4554, 0.9355)
F (0.7368, 0.4837, 0.3061)

Summary:
**Formation energy (no corrections)**: -2.38 eV per atom
**VASP energy**: -129.87 eV per cell
**Volume**: 402 Å³/cell

=====

# 9
Density functional theory data (PBE-GGA) for an optimized crystal structure of Li2Ca2Ta3O10.

a = 13.5724 Å, b = 13.5724 Å, c = 13.5724 Å
α = 163.11°, β = 163.11°, γ = 23.97°
Fractional positions:
Li (0.2500, 0.7500, 0.5000)
O (0.2259, 0.2259, 0.0000)
O (0.1446, 0.6446, 0.5000)
O (0.0750, 0.0750, 0.0000)
Ca (0.5847, 0.5847, 0.0000)
O (0.5000, 0.0000, 0.5000)
O (0.8554, 0.3554, 0.5000)
Ta (0.0000, 0.0000, 0.0000)
O (0.7741, 0.7741, 0.0000)
Li (0.7500, 0.2500, 0.5000)
Ta (0.1544, 0.1544, 0.0000)
O (0.9250, 0.9250, 0.0000)
O (0.6446, 0.1446, 0.5000)
O (0.0000, 0.5000, 0.5000)
Ca (0.4153, 0.4153, 0.0000)
Ta (0.8456, 0.8456, 0.0000)
O (0.3554, 0.8554, 0.5000)

Summary:
**Formation energy (no corrections)**: -2.80 eV per atom
**VASP energy**: -140.50 eV per cell
**Volume**: 211 Å³/cell

=====

> Which of these has the lowest VASP energy?

Li2Ca2Ta3O10

=====

> Which value of VASP energy does entry 6 give?

-47.74 eV per cell

=====

> The highest VASP energy belongs to which entry?

HfMgCd